# CrIn2ReAu | the Alexandria database | PBE | optimized geometry
# - raw total energy (eV/cell) = -21.173
# - energy of formation (eV per atom) = 1.931
data_CrIn2ReAu
_chemical_formula_sum 'Cr1 In2 Re1 Au1'
_cell_length_a 4.987
_cell_length_b 4.987
_cell_length_c 4.749
_cell_angle_alpha 90.00
_cell_angle_beta 90.00
_cell_angle_gamma 90.00
_space_group_name_H-M_alt 'P 4/m m m'
_space_group_IT_number 123
_space_group_name_Hall '-P 4 2'
loop_
_atom_site_label
_atom_site_fract_x
_atom_site_fract_y
_atom_site_fract_z
Cr1 0.000 0.000 0.000
In1 0.000 0.500 0.500
Re1 0.500 0.500 0.000
Au1 0.000 0.000 0.500